A plane-wave DFT calculation with GGA-PBE was carried out for an optimized crystal structure of Hf2TlF8.

```
11
Lattice="4.1077 0.0919 0.0697 0.5668 7.8388 1.7566 0.5668 3.8025 7.0763" Properties=species:S:1:pos:R:3 pbc="T T T"
F 2.7101 9.1361 4.3607
F 1.0063 8.4612 6.4200
F 2.5311 5.0734 1.2781
Tl 0.0000 0.0000 0.0000
F 3.5457 6.8175 5.1728
F 2.7101 6.6597 7.6245
Hf 2.1869 3.4391 2.6095
Hf 3.0543 8.2940 6.2932
F 1.6955 4.9157 3.7298
F 4.2349 3.2720 2.4826
F 2.5311 2.5970 4.5419
```

Output
calculated volume	18.2	Å³ per atom
ΔE_f (raw)	-3285	meV per atom
crystal system	monoclinic
SG	C2/m, No. 12
ΔE to the lowest computed polymorph	0.000	eV per atom